A relaxed Ca14PrMg crystal, computed with PBE.

```
16
Lattice="10.6311 0.0000 0.0000 0.0000 5.4923 5.4946 0.0000 -5.4923 5.4946" Properties=species:S:1:pos:R:3 pbc="T T T"
Ca 0.0000 0.0000 0.0022
Ca 0.0000 -2.7464 2.7486
Ca 0.0000 2.7464 2.7486
Ca 0.0000 0.0000 5.4946
Ca 2.7662 0.0000 2.7184
Ca 2.7657 -2.7779 5.4961
Ca 2.7657 2.7779 5.4961
Ca 2.7637 0.0000 8.2723
Ca 5.3155 2.7437 8.2429
Ca 5.3155 -2.7437 8.2429
Ca 7.8648 0.0000 2.7184
Ca 7.8654 -2.7779 5.4961
Ca 7.8654 2.7779 5.4961
Ca 7.8674 0.0000 8.2723
Pr 5.3155 0.0000 5.4966
Mg 5.3155 0.0000 10.9839
```

* crystal system: orthorhombic
* SG: Amm2, No. 38
* total energy: -34.017 eV/cell
* D(E_F): 19.30 states/eV/cell
* density: 1.88 g/cm³
* volume: 642 Å³ per cell